# 1
UNbSe4 | PBE | optimized geometry

```
data_UNbSe4
_symmetry_space_group_name_H-M 'C 1 2/m 1'
_symmetry_Int_Tables_number 12
_symmetry_space_group_name_Hall '-C 2y'
_cell_length_a 13.8906
_cell_length_b 3.7780
_cell_length_c 6.5652
_cell_angle_alpha 90.00
_cell_angle_beta 97.85
_cell_angle_gamma 90.00
loop_
_atom_site_label
_atom_site_type_symbol
_atom_site_fract_x
_atom_site_fract_y
_atom_site_fract_z
U1 U 0.0000 0.0000 0.0000
Nb1 Nb 0.0000 0.5000 0.5000
Se1 Se 0.1158 0.0000 0.3792
Se2 Se 0.1202 0.5000 0.8478
```

Properties
E_tot: -81.80 eV per cell
Formation energy without anion corrections: -934 meV/atom

# 2
CeCoSb | PBE | optimized geometry

```
data_CeCoSb
_symmetry_space_group_name_H-M 'P 3 m 1'
_symmetry_Int_Tables_number 156
_symmetry_space_group_name_Hall 'P 3 -2"'
_cell_length_a 4.3238
_cell_length_b 4.3238
_cell_length_c 4.0462
_cell_angle_alpha 90.00
_cell_angle_beta 90.00
_cell_angle_gamma 120.00
loop_
_atom_site_label
_atom_site_type_symbol
_atom_site_fract_x
_atom_site_fract_y
_atom_site_fract_z
Ce1 Ce 0.0000 0.0000 0.0000
Co1 Co 0.3333 0.6667 0.4022
Sb1 Sb 0.6667 0.3333 0.5005
```

Properties
E_tot: -18.99 eV per cell
Formation energy without anion corrections: -608 meV/atom

# 3
NaTlS2 | PBE | optimized geometry

```
data_NaTlS2
_symmetry_space_group_name_H-M 'P 1'
_symmetry_Int_Tables_number 1
_symmetry_space_group_name_Hall 'P 1'
_cell_length_a 4.5159
_cell_length_b 5.4811
_cell_length_c 9.2517
_cell_angle_alpha 73.06
_cell_angle_beta 89.72
_cell_angle_gamma 89.42
loop_
_atom_site_label
_atom_site_type_symbol
_atom_site_fract_x
_atom_site_fract_y
_atom_site_fract_z
Na1 Na 0.0000 0.0000 0.0000
Na2 Na 0.4994 0.4546 0.0958
Tl1 Tl 0.4992 0.7833 0.4461
Tl2 Tl 0.9990 0.1975 0.6198
S1 S 0.0005 0.5639 0.2644
S2 S 0.4771 0.2803 0.8301
S3 S 0.5237 0.8921 0.8293
S4 S 0.9974 0.1772 0.2640
```

Properties
E_tot: -27.88 eV per cell
Formation energy without anion corrections: -500 meV/atom

Number 1: density of states at the Fermi level 7.092 states/eV per cell, ρ 6293 kg/m3. Number 2: density of states at the Fermi level 2.557 states/eV per cell, ρ 8132 kg/m3. Number 3: density of states at the Fermi level 0.000 states/eV per cell, ρ 4420 kg/m3.